1.
## Zn2RhBr (PBE-GGA)

Data for an optimized crystal structure of Zn2RhBr.

Unit cell a=5.1195 b=5.1195 c=5.1195 alpha=134.51 beta=134.51 gamma=66.29
Last column: nearest neighbours and their distance in Å.
Sites, in units of the cell vectors:
Br (0.5000, 0.5000, 0.0000)  8 Zn 2.80-2.92, 4 Rh 2.92
Rh (0.7500, 0.2500, 0.5000)  8 Zn 2.80-2.92, 4 Br 2.92
Zn (0.0000, 0.0000, 0.0000)  4 Br 2.80, 4 Zn 2.92, 4 Rh 2.92
Zn (0.2500, 0.7500, 0.5000)  4 Rh 2.80, 4 Br 2.92, 4 Zn 2.92

N(E_F) (states/eV/cell): 0.90
E_form (uncorrected) (eV/f.u.): 0.8
Total magnetization (μB per formula unit): 0.00

---

2.
## CeBe2B8 (PBE-GGA)

Data for an optimized crystal structure of CeBe2B8.

Unit cell a=5.0196 b=3.8521 c=7.3159 alpha=54.65 beta=69.94 gamma=90.00
Last column: nearest neighbours and their distance in Å.
Sites, in units of the cell vectors:
Ce (0.0000, 0.0000, 0.0000)  12 B 2.64-2.87, 2 Be 2.91
Be (0.7317, 0.3908, 0.5365)  4 B 1.97-2.03
Be (0.2683, 0.6092, 0.4635)  4 B 1.97-2.03
B (0.8551, 0.6856, 0.6621)  4 B 1.67-1.87
B (0.5172, 0.3144, 0.3378)  4 B 1.67-1.87
B (0.8098, 0.1000, 0.3805)  4 B 1.72-1.83
B (0.1902, 0.9000, 0.6195)  4 B 1.72-1.83
B (0.4828, 0.6856, 0.6622)  4 B 1.67-1.87
B (0.1449, 0.3144, 0.3379)  4 B 1.67-1.87
B (0.5644, 0.2468, 0.8711)  3 B 1.61-1.67
B (0.4356, 0.7532, 0.1289)  3 B 1.61-1.67

N(E_F) (states/eV/cell): 3.22
Energy of formation (kJ per mole of atoms): 7
Total magnetization (μB per formula unit): 0.00

---

3.
## Np4NiP8 (PBE-GGA)

Data for an optimized crystal structure of Np4NiP8.

Unit cell a=3.9224 b=3.8387 c=15.0285 alpha=90.00 beta=90.00 gamma=90.00
Last column: nearest neighbours and their distance in Å.
Sites, in units of the cell vectors:
Np (0.0000, 0.0000, 0.1015)  10 P 2.86-2.97
Np (0.0000, 0.5000, 0.6086)  10 P 2.86-2.91
Np (0.5000, 0.5000, 0.3989)  10 P 2.91-3.05, 4 Ni 3.02
Np (0.5000, 0.0000, 0.8901)  10 P 2.86-2.95
Ni (0.0000, 0.0000, 0.3154)  5 P 2.21-2.24
P (0.0000, 0.0000, 0.4631)  1 Ni 2.22, 2 P 2.35
P (0.0000, 0.5000, 0.9511)  2 P 2.37
P (0.5000, 0.5000, 0.0394)  2 P 2.37
P (0.5000, 0.0000, 0.5488)  2 P 2.35
P (0.0000, 0.5000, 0.2430)  2 Ni 2.21
P (0.0000, 0.0000, 0.7501)  4 P 2.74, 4 Np 2.86-2.88
P (0.5000, 0.0000, 0.2438)  2 Ni 2.24
P (0.5000, 0.5000, 0.7489)  4 P 2.74, 4 Np 2.86-2.88

N(E_F) (states/eV/cell): 29.90
Energy of formation (kJ per mole of atoms): -57
Total magnetization (μB per formula unit): 14.95

---

4.
## CoTc4W (PBE-GGA)

Data for an optimized crystal structure of CoTc4W.

Unit cell a=5.0453 b=5.0453 c=5.0453 alpha=60.00 beta=60.00 gamma=60.00
Last column: nearest neighbours and their distance in Å.
Sites, in units of the cell vectors:
Co (0.0000, 0.0000, 0.0000)  12 Tc 2.96, 4 W 3.09
Tc (0.6261, 0.6261, 0.1216)  6 Tc 2.50-2.55
Tc (0.6261, 0.1216, 0.6261)  6 Tc 2.50-2.55
Tc (0.6261, 0.6261, 0.6261)  6 Tc 2.50-2.55
Tc (0.1216, 0.6261, 0.6261)  6 Tc 2.50-2.55
W (0.2500, 0.2500, 0.2500)  12 Tc 2.96, 4 Co 3.09

N(E_F) (states/eV/cell): 4.56
Energy of formation (kJ per mole of atoms): 36
Total magnetization (μB per formula unit): 1.26